1.
VASP calculation (PBE) on a geometry-optimized RbNpBeO5 structure.

extended XYZ file:
```
16
Lattice="5.8925 0.1347 -0.1773 -1.5913 5.6752 -0.1773 -2.0100 -2.7151 7.2828" Properties=species:S:1:pos:R:3 pbc="T T T"
O 3.9471 -1.5774 5.2848
O 1.6313 0.9004 0.7942
O 0.6599 2.1944 6.1340
O -2.2033 1.7915 6.2744
O -1.6559 4.6722 1.6434
O -1.0705 3.3217 4.2952
O -0.6200 0.4656 4.4356
O 4.4945 1.3033 0.6538
O 3.3617 -0.2269 2.6330
O 2.9112 2.6292 2.4926
Np 0.0000 0.0000 0.0000
Np -1.0050 -1.3575 3.6414
Be -0.8125 1.9463 5.2848
Be 3.1037 1.1485 1.6434
Rb 0.4296 3.1283 1.6434
Rb 1.8616 -0.0335 5.2848
```

## Properties
* energy relative to the elements, uncorrected: -2.3230 eV/atom
* total magnetic moment: 0.00 μB per cell
* energy: -7.626 eV/atom


2.
VASP calculation (PBE) on a geometry-optimized CeNd2Ge3Ir4 structure.

extended XYZ file:
```
10
Lattice="-3.3620 2.1340 -1.5158 -2.1816 -0.9207 3.5423 3.7644 9.2929 4.7337" Properties=species:S:1:pos:R:3 pbc="T T T"
Ge 1.6196 9.2150 3.3926
Ge -0.6270 0.6845 2.3543
Ge 1.8822 4.6464 2.3669
Ce -0.8896 5.2531 3.3801
Nd -0.8364 3.1519 0.3041
Nd 1.8291 6.7477 5.4429
Ir 0.7785 7.1387 2.3349
Ir 0.0000 0.0000 0.0000
Ir 0.2141 2.7609 3.4120
Ir -2.7718 0.6067 1.0132
```

## Properties
* total magnetic moment: 0.00 μB per cell
* energy: -7.242 eV/atom
* ΔE_f: -0.77 eV per atom


3.
VASP calculation (PBE) on a geometry-optimized YMg2P structure.

extended XYZ file:
```
4
Lattice="5.3489 0.1530 0.3052 3.9949 3.5602 0.3052 2.2040 0.8759 5.2579" Properties=species:S:1:pos:R:3 pbc="T T T"
Mg 9.2463 3.6744 4.4602
Mg 0.1422 0.0565 0.0859
P 5.3105 2.1103 2.2442
Y 2.6229 1.0423 2.0121
```

## Properties
* total magnetic moment: 0.00 μB per cell
* energy: -4.220 eV/atom
* ΔE_f: -0.45 eV per atom